This record from OQMD via LeMat-Bulk describes an optimized crystal structure of TlSnW. The functional is GGA-PBE.

a = 4.724 Å, b = 4.724 Å, c = 4.724 Å
α = 60.00°, β = 60.00°, γ = 60.00°
Atoms (fractional coordinates):
Tl 0.000 0.000 0.000
Sn 0.500 0.500 0.500
W 0.750 0.750 0.750

Calculated values
The energy is -5.40 eV/atom. The calculation puts the energy above the lowest structure with this stoichiometry at 0.000 eV per atom. Its size of the total moment is 1.479 μB/f.u. As for the crystal system: cubic.